DFT (PBE) results for an optimized crystal structure of Bi2TeSe2.

```
data_Bi2TeSe2
_cell_length_a 4.3256
_cell_length_b 5.8828
_cell_length_c 13.9770
_cell_angle_alpha 90.00
_cell_angle_beta 90.00
_cell_angle_gamma 90.00
_space_group_name_H-M_alt 'I m m m'
_space_group_IT_number 71
_space_group_name_Hall '-I 2 2'
loop_
_atom_site_label
_atom_site_type_symbol
_atom_site_fract_x
_atom_site_fract_y
_atom_site_fract_z
Bi1 Bi 0.0000 0.0000 0.1632
Te1 Te 0.0000 0.5000 0.5000
Se1 Se 0.0000 0.5000 0.1940
```

Computed properties:
As for the uncorrected formation energy: -127 kJ/mol of formula units. The volume comes out at 355.7 Å³ per cell. The calculation puts the size of the total moment at 0.00 μB/f.u.